# 1
DFT (PBE) results for a relaxed BaGa2O crystal.

Energy in eV for the cell shown: -61.2
Raw formation energy in meV per atom: -593
Spin magnetization in μB per formula unit: 0.0

a b c (Å): 8.620 8.620 5.218
angles (deg): 90.00 90.00 90.00
Space group I-42d (No. 122)
Inequivalent atoms, fractional coordinates:
Ba (0.000, 0.000, 0.000) x4
Ga (0.169, 0.250, 0.625) x8
O (0.000, 0.000, 0.500) x4


# 2
DFT (PBE) results for a relaxed YHoMgMn crystal.

ΔH_f (0 K) in eV per atom: 0.09
Energy in eV for the cell shown: -85.8
Spin magnetization in μB per formula unit: 3.2

a b c (Å): 7.324 7.324 7.324
angles (deg): 90.00 90.00 90.00
Space group F-43m (No. 216)
Inequivalent atoms, fractional coordinates:
Y (0.000, 0.000, 0.000) x4
Ho (0.000, 0.000, 0.500) x4
Mg (0.250, 0.250, 0.250) x4
Mn (0.250, 0.250, 0.750) x4


# 3
DFT (PBE) results for a relaxed ErAlGaAg crystal.

ΔH_f (0 K) in eV per atom: -0.33
Energy in eV for the cell shown: -61.9
Spin magnetization in μB per formula unit: 0.0

a b c (Å): 6.794 6.794 6.794
angles (deg): 90.00 90.00 90.00
Space group F-43m (No. 216)
Inequivalent atoms, fractional coordinates:
Er (0.000, 0.000, 0.000) x4
Al (0.000, 0.000, 0.500) x4
Ga (0.250, 0.250, 0.250) x4
Ag (0.250, 0.250, 0.750) x4


# 4
DFT (PBE) results for a relaxed CrSbI3 crystal.

Energy in eV for the cell shown: -15.6
Raw formation energy in meV per atom: 565
Spin magnetization in μB per formula unit: 0.0
E above lowest polymorph in meV per atom: 0.0

a b c (Å): 5.295 5.295 5.295
angles (deg): 90.00 90.00 90.00
Space group Pm-3m (No. 221)
Inequivalent atoms, fractional coordinates:
Cr (0.000, 0.000, 0.000) x1
Sb (0.500, 0.500, 0.500) x1
I (0.000, 0.000, 0.500) x3


# 5
DFT (PBE) results for a relaxed Np2CrSe6 crystal.

Energy in eV for the cell shown: -128.3
Raw formation energy in meV per atom: -860
Spin magnetization in μB per formula unit: 8.1

a b c (Å): 6.224 7.327 10.911
angles (deg): 90.00 124.51 90.00
Space group P2_1/c (No. 14)
Inequivalent atoms, fractional coordinates:
Np (0.189, 0.125, 0.246) x4
Cr (0.000, 0.000, 0.500) x2
Se (0.093, 0.189, 0.943) x4
Se (0.286, 0.671, 0.944) x4
Se (0.396, 0.033, 0.758) x4


# 6
DFT (PBE) results for a relaxed K3Ta2AlO9 crystal.

Energy in eV for the cell shown: -110.4
Raw formation energy in meV per atom: -2333
Spin magnetization in μB per formula unit: 0.8

a b c (Å): 5.6269 5.6269 6.8929
angles (deg): 90.00 90.00 120.00
Space group P-3m1 (No. 164)
Inequivalent atoms, fractional coordinates:
K (0.0000, 0.0000, 0.0000) x1
K (0.3333, 0.6667, 0.6682) x2
Ta (0.3333, 0.6667, 0.1816) x2
Al (0.0000, 0.0000, 0.5000) x1
O (0.0000, 0.5000, 0.0000) x3
O (0.1640, 0.3279, 0.3380) x6


# 7
DFT (PBE) results for a relaxed Rb4AgAu2 crystal.

ΔH_f (0 K) in eV per atom: -0.03
Energy in eV for the cell shown: -27.0
Spin magnetization in μB per formula unit: 0.0
E above lowest polymorph in meV per atom: 100.8

a b c (Å): 6.722 6.722 16.602
angles (deg): 90.00 90.00 90.00
Space group I4/mmm (No. 139)
Inequivalent atoms, fractional coordinates:
Rb (0.000, 0.000, 0.211) x4
Rb (0.000, 0.500, 0.000) x4
Ag (0.000, 0.000, 0.000) x2
Au (0.000, 0.000, 0.414) x4


# 8
DFT (PBE) results for a relaxed DyHo6Er12 crystal.

ΔH_f (0 K) in eV per atom: 0.45
Energy in eV for the cell shown: -234.6
Spin magnetization in μB per formula unit: 0.0
E above lowest polymorph in meV per atom: 292.0

a b c (Å): 14.9201 14.9201 9.8843
angles (deg): 90.00 90.00 120.00
Space group R-3m (No. 166, hexagonal axes)
Inequivalent atoms, fractional coordinates:
Dy (0.0000, 0.0000, 0.0000) x3
Ho (0.0547, 0.5274, 0.2101) x18
Er (0.0000, 0.3895, 0.5000) x18
Er (0.0727, 0.1453, 0.2843) x18


What is the energy in the eighth record?
-234.6 eV for the cell shown


What did the second record say?
DFT (PBE) results for a relaxed YHoMgMn crystal.

ΔH_f (0 K) in eV per atom: 0.09
Energy in eV for the cell shown: -85.8
Spin magnetization in μB per formula unit: 3.2

a b c (Å): 7.324 7.324 7.324
angles (deg): 90.00 90.00 90.00
Space group F-43m (No. 216)
Inequivalent atoms, fractional coordinates:
Y (0.000, 0.000, 0.000) x4
Ho (0.000, 0.000, 0.500) x4
Mg (0.250, 0.250, 0.250) x4
Mn (0.250, 0.250, 0.750) x4


Among the records above, which one has the highest energy?
CrSbI3


What did the eighth record say?
DFT (PBE) results for a relaxed DyHo6Er12 crystal.

ΔH_f (0 K) in eV per atom: 0.45
Energy in eV for the cell shown: -234.6
Spin magnetization in μB per formula unit: 0.0
E above lowest polymorph in meV per atom: 292.0

a b c (Å): 14.9201 14.9201 9.8843
angles (deg): 90.00 90.00 120.00
Space group R-3m (No. 166, hexagonal axes)
Inequivalent atoms, fractional coordinates:
Dy (0.0000, 0.0000, 0.0000) x3
Ho (0.0547, 0.5274, 0.2101) x18
Er (0.0000, 0.3895, 0.5000) x18
Er (0.0727, 0.1453, 0.2843) x18